(1)
Y2Zn4CdAu3 | the Alexandria database | GGA-PBE | relaxed; ρ = 9.415 g/cm³; space-group type = P-4m2; electronic total energy = -33.37 eV/f.u.; E_form = -4.60 eV per formula unit
1.0
-0.203 -1.084 3.961
-1.137 -3.796 -1.097
11.443 -3.332 -0.325
Zn Y Au Cd
4 2 3 1
direct
0.000 0.000 0.000
0.000 0.500 0.355
0.500 0.500 0.000
0.500 0.000 0.645
0.000 0.500 0.754
0.500 0.000 0.246
0.000 0.000 0.500
0.500 0.000 0.858
0.000 0.500 0.142
0.500 0.500 0.500

=====

(2)
YZn2CdAu2 | the Alexandria database | GGA-PBE | relaxed; ρ = 10.219 g/cm³; space-group type = P-3m1; electronic total energy = -19.32 eV/f.u.; E_form = -2.84 eV per formula unit
1.0
-3.610 -2.018 -1.923
4.206 -0.960 -1.480
0.414 -4.884 4.346
Zn Au Y Cd
2 2 1 1
direct
0.667 0.333 0.277
0.333 0.667 0.723
0.667 0.333 0.744
0.333 0.667 0.256
0.000 0.000 0.000
0.000 0.000 0.500

=====

(3)
YZn2CdAu5 | the Alexandria database | GGA-PBE | relaxed; ρ = 12.028 g/cm³; space-group type = P4/mmm; electronic total energy = -28.93 eV/f.u.; E_form = -2.61 eV per formula unit
1.0
-3.765 -1.002 -2.829
2.945 -0.353 -3.793
0.948 -7.648 1.447
Au Zn Y Cd
5 2 1 1
direct
0.000 0.500 0.736
0.500 0.500 0.500
0.500 0.000 0.736
0.500 0.000 0.264
0.000 0.500 0.264
0.500 0.500 0.153
0.500 0.500 0.847
0.000 0.000 0.500
0.000 0.000 0.000

=====

(4)
YbCdAu | the Alexandria database | GGA-PBE | relaxed; ρ = 11.246 g/cm³; space-group type = Pnma; electronic total energy = -7.71 eV/f.u.; E_form = -1.99 eV per formula unit
1.0
4.433 0.000 0.000
0.000 7.287 0.000
0.000 0.000 8.821
Cd Au Yb
4 4 4
direct
0.250 0.642 0.557
0.750 0.358 0.443
0.250 0.142 0.943
0.750 0.858 0.057
0.250 0.245 0.631
0.750 0.255 0.131
0.750 0.755 0.369
0.250 0.745 0.869
0.250 0.545 0.181
0.250 0.045 0.319
0.750 0.455 0.819
0.750 0.955 0.681

=====

(5)
ZnCd5Au6 | the Alexandria database | GGA-PBE | relaxed; ρ = 13.207 g/cm³; space-group type = C2/m; electronic total energy = -27.67 eV/f.u.; E_form = -2.16 eV per formula unit
1.0
4.548 -0.256 0.656
-0.019 6.594 2.704
0.954 0.580 7.985
Au Cd Zn
6 5 1
direct
0.838 0.080 0.307
0.162 0.920 0.693
0.162 0.387 0.692
0.500 0.781 0.000
0.838 0.613 0.308
0.500 0.219 0.000
0.668 0.663 0.674
0.000 0.500 0.000
0.690 0.184 0.633
0.310 0.816 0.367
0.332 0.337 0.326
0.000 0.000 0.000

=====

(6)
Zn4Cd2Au9 | the Alexandria database | GGA-PBE | relaxed; ρ = 13.354 g/cm³; space-group type = P-3m1; electronic total energy = -38.43 eV/f.u.; E_form = -2.00 eV per formula unit
1.0
-3.302 2.964 0.361
1.806 -1.777 3.661
10.960 12.147 0.490
Zn Au Cd
4 9 2
direct
0.667 0.333 0.606
0.333 0.667 0.107
0.333 0.667 0.394
0.667 0.333 0.893
0.000 0.000 0.851
0.000 0.000 0.324
0.333 0.667 0.581
0.667 0.333 0.419
0.000 0.000 0.149
0.000 0.000 0.500
0.000 0.000 0.676
0.333 0.667 0.947
0.667 0.333 0.053
0.333 0.667 0.762
0.667 0.333 0.238

=====

(7)
ZnCdAu | the Alexandria database | GGA-PBE | relaxed; ρ = 11.385 g/cm³; space-group type = I4mm; electronic total energy = -5.83 eV/f.u.; E_form = -0.36 eV per formula unit; excess energy over the best structure of this formula in the dataset = 35 meV/atom
1.0
-4.476 -1.533 -1.977
-0.840 -4.830 -1.505
1.853 2.616 4.002
Au Zn Cd
1 1 1
direct
0.011 0.011 0.000
0.657 0.657 0.000
0.332 0.332 0.000

=====

(8)
Zn3Cd2Au5 | the Alexandria database | GGA-PBE | relaxed; ρ = 12.020 g/cm³; space-group type = Ibam; electronic total energy = -22.93 eV/f.u.; E_form = -0.89 eV per formula unit
1.0
5.533 0.000 0.000
2.766 8.329 -1.353
2.766 -0.052 8.438
Au Cd Zn
10 4 6
direct
0.101 0.062 0.736
0.010 0.240 0.240
0.490 0.760 0.760
0.250 0.500 0.500
0.899 0.938 0.264
0.750 0.500 0.500
0.990 0.760 0.760
0.601 0.736 0.062
0.399 0.264 0.938
0.510 0.240 0.240
0.359 0.888 0.394
0.641 0.112 0.606
0.859 0.394 0.888
0.141 0.606 0.112
0.874 0.767 0.485
0.250 0.000 0.000
0.750 0.000 0.000
0.126 0.233 0.515
0.374 0.485 0.767
0.626 0.515 0.233

=====

(9)
Zn3CdAu6 | the Alexandria database | GGA-PBE | relaxed; ρ = 14.358 g/cm³; space-group type = P2_1/m; electronic total energy = -26.14 eV/f.u.; E_form = -1.74 eV per formula unit; excess energy over the best structure of this formula in the dataset = 0 meV/atom
1.0
4.250 0.000 0.000
0.000 8.622 -1.615
0.000 0.945 9.232
Au Zn Cd
12 6 2
direct
0.750 0.527 0.899
0.750 0.835 0.792
0.250 0.834 0.282
0.250 0.618 0.693
0.250 0.473 0.101
0.750 0.940 0.092
0.750 0.166 0.718
0.250 0.165 0.208
0.250 0.060 0.908
0.250 0.270 0.519
0.750 0.730 0.481
0.750 0.382 0.307
0.250 0.552 0.397
0.250 0.755 0.978
0.250 0.343 0.814
0.750 0.448 0.603
0.750 0.245 0.022
0.750 0.657 0.186
0.750 0.058 0.397
0.250 0.942 0.603

=====

(10)
ZnCd2Au | the Alexandria database | GGA-PBE | relaxed; ρ = 10.520 g/cm³; space-group type = Cm; electronic total energy = -6.65 eV/f.u.; E_form = -0.27 eV per formula unit
1.0
5.016 -0.350 0.286
3.639 3.470 0.286
1.451 0.523 4.213
Zn Cd Au
1 2 1
direct
0.489 0.489 0.534
0.005 0.005 0.994
0.245 0.245 0.253
0.761 0.761 0.719

=====

(11)
ZnCd3Au3 | the Alexandria database | GGA-PBE | relaxed; ρ = 11.203 g/cm³; space-group type = C2/m; electronic total energy = -14.67 eV/f.u.; E_form = -0.81 eV per formula unit; excess energy over the best structure of this formula in the dataset = 23 meV/atom
1.0
-6.240 2.421 3.260
1.274 -6.973 -2.279
3.594 -0.453 5.643
Cd Au Zn
6 6 2
direct
0.770 0.230 0.000
0.667 0.667 0.378
0.169 0.831 0.500
0.230 0.770 0.000
0.333 0.333 0.622
0.831 0.169 0.500
0.190 0.500 0.296
0.026 0.026 0.227
0.500 0.190 0.296
0.500 0.810 0.704
0.974 0.974 0.773
0.810 0.500 0.704
0.323 0.323 0.032
0.677 0.677 0.968

=====

(12)
Zn5CdAu3 | the Alexandria database | GGA-PBE | relaxed; ρ = 9.614 g/cm³; space-group type = C2/m; electronic total energy = -17.37 eV/f.u.; E_form = -0.25 eV per formula unit; excess energy over the best structure of this formula in the dataset = 90 meV/atom
1.0
6.246 -0.034 -0.365
1.677 6.016 -0.365
1.853 1.400 9.287
Cd Au Zn
2 6 10
direct
0.850 0.850 0.280
0.150 0.150 0.720
0.330 0.330 0.193
0.000 0.000 0.500
0.670 0.670 0.807
0.000 0.000 0.000
0.557 0.557 0.345
0.443 0.443 0.655
0.711 0.080 0.761
0.280 0.280 0.936
0.289 0.920 0.239
0.920 0.289 0.239
0.713 0.713 0.542
0.720 0.720 0.064
0.672 0.328 0.000
0.080 0.711 0.761
0.328 0.672 0.000
0.287 0.287 0.458